Compound: MnReAg2Sn
Source: the Alexandria database
Functional: PBE-GGA
Structure: optimized geometry

Values from the calculation:
- Crystal system: tetragonal
- Calculated volume: 25.94 A^3/atom
- Uncorrected energy: -4.45 eV per atom
- ΔE_f: 1.8160 eV per atom
- Magnetic moment: 8.24 μB/f.u.

POSCAR file:
```
MnReAg2Sn
1.0
5.092 0.000 0.000
0.000 5.092 0.000
0.000 0.000 5.004
Mn Re Ag Sn
1 1 2 1
Cartesian
0.000 0.000 0.000
2.546 2.546 0.000
0.000 2.546 2.502
2.546 0.000 2.502
0.000 0.000 2.502
```


Compound: Li2Mg6Ir
Source: the Alexandria database
Functional: PBE-GGA
Structure: optimized geometry

Values from the calculation:
- Crystal system: trigonal
- Calculated volume: 18.99 A^3/atom
- Uncorrected energy: -2.62 eV per atom
- ΔE_f: -0.1510 eV per atom
- Magnetic moment: 0.00 μB/f.u.

POSCAR file:
```
Li2Mg6Ir
1.0
4.708 0.000 0.000
-2.354 4.077 0.000
0.000 0.000 8.903
Li Mg Ir
2 6 1
Cartesian
0.000 2.718 2.566
2.354 1.359 6.336
0.000 0.000 1.765
0.000 0.000 7.137
0.000 2.718 5.248
0.000 2.718 8.446
2.354 1.359 0.456
2.354 1.359 3.655
0.000 0.000 4.451
```


Compound: AsRu2Au
Source: the Alexandria database
Functional: PBE-GGA
Structure: optimized geometry

Values from the calculation:
- Crystal system: orthorhombic
- Calculated volume: 15.83 A^3/atom
- Uncorrected energy: -6.12 eV per atom
- ΔE_f: 0.4955 eV per atom
- Magnetic moment: 0.00 μB/f.u.

POSCAR file:
```
AsRu2Au
1.0
2.891 0.000 0.000
0.000 4.564 0.000
0.000 0.000 4.800
As Ru Au
1 2 1
Cartesian
0.000 0.000 0.000
0.000 2.282 2.400
1.445 2.282 0.000
1.445 0.000 2.400
```


Question: Among the records above, which one has the lowest uncorrected energy?
Answer: AsRu2Au